Version w
The following is a DFT calculation (GGA-PBE) of an optimized crystal structure of Al2HgAs.

Geometry as extended XYZ:
```
4
Lattice="2.865 -3.699 0.000 2.865 3.699 0.000 -1.424 0.000 3.858" Properties=species:S:1:pos:R:3 pbc="T T T"
Al 1.433 1.850 0.000
Al 1.433 -1.850 0.000
Hg -0.712 0.000 1.929
As 2.153 0.000 1.929
```

=====

Version x
The following is a DFT calculation (GGA-PBE) of an optimized crystal structure of Al2HgAs.

Geometry as extended XYZ:
```
4
Lattice="3.709 0.000 0.000 0.000 3.709 0.000 0.000 0.000 6.238" Properties=species:S:1:pos:R:3 pbc="T T T"
Al 0.000 0.000 0.000
Al 1.854 1.854 2.578
Hg 1.854 1.854 5.418
As 0.000 0.000 2.488
```

=====

The data favor version x; the next most stable structure lies 13.0 kJ/mol of atoms above it.

=====

Version w
The following is a DFT calculation (GGA-PBE) of an optimized crystal structure of Al2HgAs.

Geometry as extended XYZ:
```
4
Lattice="-1.914 1.914 5.606 1.914 -1.914 5.606 1.914 1.914 -5.606" Properties=species:S:1:pos:R:3 pbc="T T T"
Al 0.000 0.000 0.000
Al 0.000 1.914 2.803
Hg 0.000 0.000 5.606
As 1.914 0.000 2.803
```

=====

Version x
The following is a DFT calculation (GGA-PBE) of an optimized crystal structure of Al2HgAs.

Geometry as extended XYZ:
```
4
Lattice="1.523 0.879 9.636 -1.523 0.879 9.636 0.000 -1.758 9.636" Properties=species:S:1:pos:R:3 pbc="T T T"
Al 0.000 0.000 7.183
Al 0.000 0.000 21.725
Hg 0.000 0.000 0.000
As 0.000 0.000 14.454
```

=====

The data favor version w; the next most stable structure lies 3.7 kJ/mol of atoms above it.

=====

Version w
The following is a DFT calculation (GGA-PBE) of an optimized crystal structure of Al2HgAs.

Geometry as extended XYZ:
```
4
Lattice="2.091 -2.516 0.000 2.091 2.516 0.000 0.000 0.000 7.585" Properties=species:S:1:pos:R:3 pbc="T T T"
Al 0.000 0.000 1.694
Al 0.000 0.000 5.891
Hg 2.091 0.000 3.793
As 2.091 0.000 0.000
```

=====

Version x
The following is a DFT calculation (GGA-PBE) of an optimized crystal structure of Al2HgAs.

Geometry as extended XYZ:
```
8
Lattice="-3.178 3.178 5.070 3.178 -3.178 5.070 3.178 3.178 -5.070" Properties=species:S:1:pos:R:3 pbc="T T T"
Al 4.767 1.434 -1.267
Al 1.434 1.589 1.267
Al -1.589 1.744 3.802
Al 1.744 1.589 6.337
Hg 3.178 0.000 2.535
Hg 0.000 0.000 5.070
As 0.000 0.000 0.000
As 0.000 3.178 2.535
```

=====

Version y
The following is a DFT calculation (GGA-PBE) of an optimized crystal structure of Al2HgAs.

Geometry as extended XYZ:
```
4
Lattice="2.768 0.000 0.000 0.000 3.818 0.000 0.000 0.000 7.712" Properties=species:S:1:pos:R:3 pbc="T T T"
Al 0.000 0.000 1.848
Al 0.000 0.000 5.864
Hg 1.384 1.909 3.856
As 0.000 1.909 0.000
```

=====

The data favor version x; the next most stable structure lies 1.8 kJ/mol of atoms above it.

=====

Version w
The following is a DFT calculation (GGA-PBE) of an optimized crystal structure of Al2HgAs.

Geometry as extended XYZ:
```
4
Lattice="2.787 -4.021 0.000 2.787 4.021 0.000 -0.067 0.000 3.869" Properties=species:S:1:pos:R:3 pbc="T T T"
Al 2.787 2.266 0.000
Al 2.787 -2.266 0.000
Hg 2.754 0.000 1.935
As -0.034 0.000 1.935
```

=====

Version x
The following is a DFT calculation (GGA-PBE) of an optimized crystal structure of Al2HgAs.

Geometry as extended XYZ:
```
4
Lattice="0.000 3.418 3.418 3.418 0.000 3.418 3.418 3.418 0.000" Properties=species:S:1:pos:R:3 pbc="T T T"
Al 1.709 1.709 1.709
Al 5.127 5.127 5.127
Hg 0.000 0.000 0.000
As 3.418 3.418 3.418
```

=====

Version y
The following is a DFT calculation (GGA-PBE) of an optimized crystal structure of Al2HgAs.

Geometry as extended XYZ:
```
4
Lattice="3.228 -1.859 0.000 3.228 1.859 0.000 -2.135 0.000 6.846" Properties=species:S:1:pos:R:3 pbc="T T T"
Al 1.076 0.000 1.488
Al 3.246 0.000 5.358
Hg -1.067 0.000 3.423
As 3.228 0.000 0.000
```

=====

The data favor version y; the next most stable structure lies 12.2 kJ/mol of atoms above it.

=====

Version w
The following is a DFT calculation (GGA-PBE) of an optimized crystal structure of Al2HgAs.

Geometry as extended XYZ:
```
4
Lattice="0.000 3.442 3.442 3.442 0.000 3.442 3.442 3.442 0.000" Properties=species:S:1:pos:R:3 pbc="T T T"
Al 0.000 0.000 0.000
Al 1.721 1.721 1.721
Hg 5.162 5.162 5.162
As 3.442 3.442 3.442
```

=====

Version x
The following is a DFT calculation (GGA-PBE) of an optimized crystal structure of Al2HgAs.

Geometry as extended XYZ:
```
4
Lattice="3.390 0.000 0.000 0.000 3.390 0.000 0.000 0.000 6.847" Properties=species:S:1:pos:R:3 pbc="T T T"
Al 0.000 0.000 1.450
Al 0.000 0.000 5.397
Hg 1.695 1.695 3.424
As 1.695 1.695 0.000
```

=====

The data favor version x; the next most stable structure lies 13.4 kJ/mol of atoms above it.

=====

Version w
The following is a DFT calculation (GGA-PBE) of an optimized crystal structure of Al2HgAsI.

Geometry as extended XYZ:
```
5
Lattice="4.971 0.000 0.000 0.000 4.971 0.000 0.000 0.000 6.166" Properties=species:S:1:pos:R:3 pbc="T T T"
Al 0.000 2.486 0.000
Al 2.486 0.000 0.000
Hg 0.000 0.000 0.000
As 2.486 2.486 3.083
I 0.000 0.000 3.083
```

=====

Version x
The following is a DFT calculation (GGA-PBE) of an optimized crystal structure of Al2HgAsI.

Geometry as extended XYZ:
```
5
Lattice="5.562 0.000 0.000 0.000 5.562 0.000 0.000 0.000 5.741" Properties=species:S:1:pos:R:3 pbc="T T T"
Al 0.000 2.781 0.000
Al 2.781 0.000 0.000
Hg 0.000 0.000 2.871
As 2.781 2.781 2.871
I 0.000 0.000 0.000
```

=====

The data favor version w; the next most stable structure lies 37.5 kJ/mol of atoms above it.

=====

Version w
The following is a DFT calculation (GGA-PBE) of an optimized crystal structure of Al3AsI.

Geometry as extended XYZ:
```
5
Lattice="5.220 0.000 0.000 0.000 5.220 0.000 0.000 0.000 5.220" Properties=species:S:1:pos:R:3 pbc="T T T"
Al 0.000 0.000 2.610
Al 0.000 2.610 0.000
Al 2.610 0.000 0.000
As 0.000 0.000 0.000
I 2.610 2.610 2.610
```

=====

Version x
The following is a DFT calculation (GGA-PBE) of an optimized crystal structure of Al3AsI.

Geometry as extended XYZ:
```
5
Lattice="5.467 0.000 0.000 0.000 5.467 0.000 0.000 0.000 5.467" Properties=species:S:1:pos:R:3 pbc="T T T"
Al 0.000 0.000 2.733
Al 0.000 2.733 0.000
Al 2.733 0.000 0.000
As 2.733 2.733 2.733
I 0.000 0.000 0.000
```

=====

The data favor version w; the next most stable structure lies 78.6 kJ/mol of atoms above it.

=====

Version w
The following is a DFT calculation (GGA-PBE) of an optimized crystal structure of AlAs3I.

Geometry as extended XYZ:
```
5
Lattice="4.954 0.000 0.000 0.000 4.954 0.000 0.000 0.000 4.954" Properties=species:S:1:pos:R:3 pbc="T T T"
Al 0.000 0.000 0.000
As 0.000 0.000 2.477
As 0.000 2.477 0.000
As 2.477 0.000 0.000
I 2.477 2.477 2.477
```

=====

Version x
The following is a DFT calculation (GGA-PBE) of an optimized crystal structure of AlAs3I.

Geometry as extended XYZ:
```
5
Lattice="5.373 0.000 0.000 0.000 5.373 0.000 0.000 0.000 5.373" Properties=species:S:1:pos:R:3 pbc="T T T"
Al 0.000 0.000 0.000
As 0.000 2.687 2.687
As 2.687 0.000 2.687
As 2.687 2.687 0.000
I 2.687 2.687 2.687
```

=====

The data favor version w; the next most stable structure lies 72.2 kJ/mol of atoms above it.

=====

Version w
The following is a DFT calculation (GGA-PBE) of an optimized crystal structure of AlAs2I.

Geometry as extended XYZ:
```
4
Lattice="0.000 3.548 3.548 3.548 0.000 3.548 3.548 3.548 0.000" Properties=species:S:1:pos:R:3 pbc="T T T"
Al 0.000 0.000 0.000
As 1.774 1.774 1.774
As 5.323 5.323 5.323
I 3.548 3.548 3.548
```

=====

Version x
The following is a DFT calculation (GGA-PBE) of an optimized crystal structure of AlAs2I.

Geometry as extended XYZ:
```
8
Lattice="-3.466 3.466 4.815 3.466 -3.466 4.815 3.466 3.466 -4.815" Properties=species:S:1:pos:R:3 pbc="T T T"
Al 0.000 0.000 0.000
Al 0.000 3.466 2.407
As 5.200 1.308 -1.204
As 1.308 1.733 1.204
As -1.733 2.159 3.611
As 2.159 1.733 6.019
I 3.466 0.000 2.407
I 0.000 0.000 4.815
```

=====

The data favor version x; the next most stable structure lies 29.8 kJ/mol of atoms above it.

=====

Version w
The following is a DFT calculation (GGA-PBE) of an optimized crystal structure of AlAsI2.

Geometry as extended XYZ:
```
4
Lattice="0.000 3.783 3.783 3.783 0.000 3.783 3.783 3.783 0.000" Properties=species:S:1:pos:R:3 pbc="T T T"
Al 0.000 0.000 0.000
As 3.783 3.783 3.783
I 1.891 1.891 1.891
I 5.674 5.674 5.674
```

=====

Version x
The following is a DFT calculation (GGA-PBE) of an optimized crystal structure of AlAsI2.

Geometry as extended XYZ:
```
8
Lattice="-2.714 2.714 9.377 2.714 -2.714 9.377 2.714 2.714 -9.377" Properties=species:S:1:pos:R:3 pbc="T T T"
Al 0.000 0.000 0.000
Al 0.000 2.714 4.688
As 2.714 0.000 4.688
As 0.000 0.000 9.377
I 1.357 -1.281 7.033
I 1.433 1.357 2.344
I 1.357 3.994 -2.344
I 1.281 1.357 11.721
```

=====

The data favor version x; the next most stable structure lies 7.6 kJ/mol of atoms above it.

=====

Version w
The following is a DFT calculation (GGA-PBE) of an optimized crystal structure of AlAsIN2.

Geometry as extended XYZ:
```
5
Lattice="3.834 0.000 0.000 0.000 3.834 0.000 0.000 0.000 6.976" Properties=species:S:1:pos:R:3 pbc="T T T"
Al 0.000 0.000 0.000
As 1.917 1.917 3.488
I 0.000 0.000 3.488
N 0.000 1.917 0.000
N 1.917 0.000 0.000
```

=====

Version x
The following is a DFT calculation (GGA-PBE) of an optimized crystal structure of AlAsIN2.

Geometry as extended XYZ:
```
5
Lattice="3.926 0.000 0.000 0.000 3.926 0.000 0.000 0.000 6.597" Properties=species:S:1:pos:R:3 pbc="T T T"
Al 0.000 0.000 0.000
As 1.963 1.963 3.299
I 1.963 1.963 0.000
N 0.000 1.963 3.299
N 1.963 0.000 3.299
```

=====

The data favor version w; the next most stable structure lies 27.5 kJ/mol of atoms above it.

=====

Version w
The following is a DFT calculation (GGA-PBE) of an optimized crystal structure of AlSb2AsI.

Geometry as extended XYZ:
```
5
Lattice="5.402 0.000 0.000 0.000 5.402 0.000 0.000 0.000 5.803" Properties=species:S:1:pos:R:3 pbc="T T T"
Al 0.000 0.000 0.000
Sb 0.000 2.701 2.902
Sb 2.701 0.000 2.902
As 2.701 2.701 2.902
I 2.701 2.701 0.000
```

=====

Version x
The following is a DFT calculation (GGA-PBE) of an optimized crystal structure of AlSb2AsI.

Geometry as extended XYZ:
```
5
Lattice="5.382 0.000 0.000 0.000 5.382 0.000 0.000 0.000 5.188" Properties=species:S:1:pos:R:3 pbc="T T T"
Al 0.000 0.000 0.000
Sb 0.000 2.691 0.000
Sb 2.691 0.000 0.000
As 2.691 2.691 2.594
I 0.000 0.000 2.594
```

=====

The data favor version x; the next most stable structure lies 1.3 kJ/mol of atoms above it.

=====

Version w
The following is a DFT calculation (GGA-PBE) of an optimized crystal structure of AlAsSe2I.

Geometry as extended XYZ:
```
5
Lattice="5.411 0.000 0.000 0.000 5.411 0.000 0.000 0.000 5.485" Properties=species:S:1:pos:R:3 pbc="T T T"
Al 0.000 0.000 0.000
As 2.706 2.706 0.000
Se 0.000 2.706 2.742
Se 2.706 0.000 2.742
I 2.706 2.706 2.742
```

=====

Version x
The following is a DFT calculation (GGA-PBE) of an optimized crystal structure of AlAsSe2I.

Geometry as extended XYZ:
```
5
Lattice="4.799 0.000 0.000 0.000 4.799 0.000 0.000 0.000 5.457" Properties=species:S:1:pos:R:3 pbc="T T T"
Al 0.000 0.000 0.000
As 0.000 0.000 2.729
Se 0.000 2.399 0.000
Se 2.399 0.000 0.000
I 2.399 2.399 2.729
```

=====

The data favor version x; the next most stable structure lies 67.0 kJ/mol of atoms above it.